Entry 1:
DFT (PBE-GGA) results for a relaxed structure of La2ErCo9. Values from VASP.

The structure in Quantum ESPRESSO input format:
```
&SYSTEM
  ibrav = 0, nat = 12, ntyp = 3
/
ATOMIC_SPECIES
Co 58.93 Co.upf
La 138.91 La.upf
Er 167.26 Er.upf
ATOMIC_POSITIONS crystal
Co 0.5750 0.5750 0.7687
Co 0.0813 0.5750 0.7687
La 0.1396 0.1396 0.5813
Co 0.3325 0.3325 0.0024
Co 0.5000 0.5000 0.5000
Er 0.0000 0.0000 0.0000
La 0.8604 0.8604 0.4187
Co 0.5750 0.0813 0.7687
Co 0.4250 0.9187 0.2313
Co 0.4250 0.4250 0.2313
Co 0.9187 0.4250 0.2313
Co 0.6675 0.6675 0.9976
CELL_PARAMETERS angstrom
-2.3912 -3.4779 2.6341
-2.5212 -3.5958 -2.3380
5.2854 -7.1684 0.0318
```



Entry 2:
DFT (PBE-GGA) results for a relaxed structure of La3ErCo. Values from VASP.

energy relative to the lowest polymorph listed for this composition	0	meV per atom

The structure in Quantum ESPRESSO input format:
```
&SYSTEM
  ibrav = 0, nat = 10, ntyp = 3
/
ATOMIC_SPECIES
Er 167.26 Er.upf
La 138.91 La.upf
Co 58.93 Co.upf
ATOMIC_POSITIONS crystal
Er 0.1175 0.5004 0.2647
La 0.4406 0.6083 0.5104
La 0.1023 0.1648 0.6306
Er 0.2237 0.5444 0.0082
Co 0.4246 0.3550 0.7958
La 0.9889 0.1188 0.9034
Co 0.7782 0.3198 0.1237
La 0.7825 0.6735 0.7615
La 0.7722 0.0638 0.3919
La 0.4303 0.9882 0.1512
CELL_PARAMETERS angstrom
-2.9459 -1.5768 -1.6889
-0.0462 -6.2043 1.7234
-8.8834 1.9613 9.5139
```



Entry 3:
DFT (PBE-GGA) results for a relaxed structure of La8ErCo2. Values from VASP.

The structure in Quantum ESPRESSO input format:
```
&SYSTEM
  ibrav = 0, nat = 11, ntyp = 3
/
ATOMIC_SPECIES
La 138.91 La.upf
Co 58.93 Co.upf
Er 167.26 Er.upf
ATOMIC_POSITIONS crystal
La 0.8261 0.6836 0.6836
La 0.3231 0.8711 0.8711
La 0.3107 0.4121 0.8068
La 0.3107 0.8068 0.4121
La 0.1739 0.3164 0.3164
Co 0.3773 0.1835 0.1835
La 0.6769 0.1289 0.1289
Er 0.0000 0.0000 0.0000
La 0.6893 0.5879 0.1932
La 0.6893 0.1932 0.5879
Co 0.6227 0.8165 0.8165
CELL_PARAMETERS angstrom
-2.7425 -2.4351 -6.4069
3.7081 -5.8375 3.0799
-4.1260 -3.2524 5.4508
```



Entry 4:
DFT (PBE-GGA) results for a relaxed structure of LaEr2Co2. Values from VASP.

The structure in Quantum ESPRESSO input format:
```
&SYSTEM
  ibrav = 0, nat = 5, ntyp = 3
/
ATOMIC_SPECIES
Co 58.93 Co.upf
La 138.91 La.upf
Er 167.26 Er.upf
ATOMIC_POSITIONS crystal
Co 0.2885 0.8886 0.5770
La 0.0000 0.0000 0.0000
Er 0.6558 0.5962 0.3117
Er 0.3442 0.4038 0.6883
Co 0.7115 0.1114 0.4230
CELL_PARAMETERS angstrom
3.8157 0.0000 0.0000
0.0000 5.5669 0.0251
-1.9079 -1.5729 5.4736
```



Entry 5:
DFT (PBE-GGA) results for a relaxed structure of LiLaErCo. Values from VASP.

The structure in Quantum ESPRESSO input format:
```
&SYSTEM
  ibrav = 0, nat = 4, ntyp = 4
/
ATOMIC_SPECIES
La 138.91 La.upf
Er 167.26 Er.upf
Li 6.94 Li.upf
Co 58.93 Co.upf
ATOMIC_POSITIONS crystal
La 0.2500 0.2500 0.2500
Er 0.7500 0.7500 0.7500
Li 0.5000 0.5000 0.5000
Co 0.0000 0.0000 0.0000
CELL_PARAMETERS angstrom
4.9703 0.0000 0.0000
2.4852 4.3044 0.0000
2.4852 1.4348 4.0582
```



Number 1: total energy -6.620 eV per atom, size of the total moment 10.01 μB/f.u.. Number 2: total energy -5.369 eV per atom, size of the total moment 0.00 μB/f.u.. Number 3: total energy -5.271 eV per atom, size of the total moment 0.00 μB/f.u.. Number 4: total energy -5.732 eV per atom, size of the total moment 0.00 μB/f.u.. Number 5: total energy -4.638 eV per atom, size of the total moment 0.00 μB/f.u..